The following is a PBE-GGA calculation of LaCrI2N after structural relaxation, from Alexandria.

abc: 6.467 6.467 4.165
angles: 90.00 90.00 90.00
Space group P4/mmm (No. 123)
Unique sites:
La 0.000 0.000 0.000 [1 per cell]
Cr 0.500 0.500 0.500 [1 per cell]
I 0.000 0.500 0.000 [2 per cell]
N 0.000 0.000 0.500 [1 per cell]

Results
The formation energy (no corrections) is 18 kJ/mol of formula units. As for the final energy: -25.8 eV per cell. The calculation puts the density of states at the Fermi level at 6.048 states/eV/f.u.